The following is a meta-GGA SCAN calculation of a crystal of AgHgRu relaxed with PBEsol, from the Alexandria database.

Output
- energy above the lowest structure with this stoichiometry (eV/atom) = 0.308
- crystal system = cubic
- theoretical density (Mg/m³) = 11.4
- formation energy from the elements (kJ per mole of atoms) = 93.3

The structure in POSCAR format:
```
AgHgRu
1.0
4.388 0.000 0.000
2.194 3.800 0.000
2.194 1.267 3.583
Ag Hg Ru
1 1 1
direct
0.500 0.500 0.500
0.750 0.750 0.750
0.000 0.000 0.000
```